# AcSmCoRh GGA-PBE optimized geometry
# SG	No. 216
# ρ	9.8	Mg/m³
# energy of formation	-227	meV/atom
# density of states at the Fermi level	0.715	states/eV/atom
data_AcSmCoRh
_symmetry_space_group_name_H-M 'P 1'
_symmetry_Int_Tables_number 1
_cell_length_a 5.061
_cell_length_b 5.061
_cell_length_c 5.061
_cell_angle_alpha 60.00
_cell_angle_beta 60.00
_cell_angle_gamma 60.00
loop_
_symmetry_equiv_pos_as_xyz
'x,y,z'
loop_
_atom_site_label
_atom_site_fract_x
_atom_site_fract_y
_atom_site_fract_z
_atom_site_occupancy
Rh1 0.000 0.000 0.000 1
Ac1 0.250 0.250 0.250 1
Sm1 0.750 0.750 0.750 1
Co1 0.500 0.500 0.500 1

---

# ScAg4 GGA-PBE optimized geometry
# SG	No. 71
# ρ	8.4	Mg/m³
# energy of formation	-132	meV/atom
# density of states at the Fermi level	0.341	states/eV/atom
data_ScAg4
_symmetry_space_group_name_H-M 'P 1'
_symmetry_Int_Tables_number 1
_cell_length_a 3.452
_cell_length_b 7.895
_cell_length_c 3.624
_cell_angle_alpha 76.73
_cell_angle_beta 90.00
_cell_angle_gamma 77.37
loop_
_symmetry_equiv_pos_as_xyz
'x,y,z'
loop_
_atom_site_label
_atom_site_fract_x
_atom_site_fract_y
_atom_site_fract_z
_atom_site_occupancy
Ag1 0.999 0.002 0.999 1
Ag2 0.201 0.598 0.201 1
Ag3 0.801 0.399 0.801 1
Ag4 0.399 0.201 0.399 1
Sc1 0.600 0.800 0.600 1

---

What is the ρ in the first record? 9.8 Mg/m³